Density functional theory data (GGA-PBE) for YTm2Sc2Al2 after structural relaxation.

As for the raw total energy: -36.90 eV/f.u. Its formation enthalpy at 0 K is -0.192 eV/atom.

It has space group R-3m (No. 166, hexagonal axes), with a = 5.0285 Å, b = 5.0285 Å, c = 23.7477 Å, α = 90.00°, β = 90.00° and γ = 120.00°. The distinct sites, in fractional coordinates, are Y at (0.0000, 0.0000, 0.0000), Tm at (0.0000, 0.0000, 0.1359), Sc at (0.0000, 0.0000, 0.4034) and Al at (0.0000, 0.0000, 0.2681).